# 1
Below is a crystal of BeCr2Co relaxed with PBEsol, with properties calculated at the SCAN level.

a b c (Å): 2.931 2.931 4.751
angles (deg): 90.00 90.00 90.00
Site moments in Bohr magnetons follow the coordinates.
Positions (direct):
Cr 0.000 0.000 0.216  0.35
Co 0.500 0.500 0.500  1.54
Cr 0.000 0.000 0.784  0.35
Be 0.500 0.500 0.000  -0.04

## Properties
The calculation puts the uncorrected energy at -14.48 eV per atom. The space group is P4/mmm. The value obtained for the formation energy from the elements is 122 meV per atom.

# 2
Below is a crystal of Be2CrCo relaxed with PBEsol, with properties calculated at the SCAN level.

a b c (Å): 3.733 3.733 3.733
angles (deg): 60.00 60.00 60.00
Site moments in Bohr magnetons follow the coordinates.
Positions (direct):
Be 0.250 0.250 0.250  -0.04
Be 0.750 0.750 0.750  -0.04
Cr 0.500 0.500 0.500  2.68
Co 0.000 0.000 0.000  0.84

## Properties
The calculation puts the uncorrected energy at -11.26 eV per atom. The space group is Fm-3m. The relative energy among the computed polymorphs comes out at 0 meV per atom. The value obtained for the formation energy from the elements is -158 meV per atom.

# 3
Below is a crystal of BeCrCo2 relaxed with PBEsol, with properties calculated at the SCAN level.

a b c (Å): 4.797 4.797 4.797
angles (deg): 104.69 104.69 119.52
Site moments in Bohr magnetons follow the coordinates.
Positions (direct):
Be 0.750 0.250 0.500  0.03
Cr 0.000 0.000 0.000  2.52
Co 0.125 0.606 0.981  -0.52
Co 0.394 0.375 0.519  -0.52
Co 0.625 0.144 0.019  -0.52
Cr 0.250 0.750 0.500  2.52
Co 0.856 0.875 0.481  -0.52
Be 0.500 0.500 0.000  0.03

## Properties
The calculation puts the uncorrected energy at -13.76 eV per atom. The space group is I-42d. The value obtained for the formation energy from the elements is 580 meV per atom.

# 4
Below is a crystal of Cs2BeCoRh relaxed with PBEsol, with properties calculated at the SCAN level.

a b c (Å): 4.344 6.299 6.299
angles (deg): 90.00 90.00 90.00
Site moments in Bohr magnetons follow the coordinates.
Positions (direct):
Cs 0.000 0.000 0.500  0.00
Be 0.500 0.500 0.500  -0.01
Rh 0.500 0.000 0.000  0.74
Co 0.000 0.000 0.000  2.10
Cs 0.000 0.500 0.000  0.00

## Properties
The calculation puts the uncorrected energy at -24.94 eV per atom. The space group is P4/mmm. The value obtained for the formation energy from the elements is 1269 meV per atom.

# 5
Below is a crystal of Cs2ScBeCo relaxed with PBEsol, with properties calculated at the SCAN level.

a b c (Å): 4.237 6.844 6.844
angles (deg): 90.00 90.00 90.00
Positions (direct):
Cs 0.000 0.500 0.000
Co 0.500 0.000 0.000
Sc 0.000 0.000 0.000
Be 0.500 0.500 0.500
Cs 0.000 0.000 0.500

## Properties
The calculation puts the uncorrected energy at -20.93 eV per atom. The space group is P4/mmm. The value obtained for the formation energy from the elements is 1369 meV per atom.

# 6
Below is a crystal of Be3CoCu relaxed with PBEsol, with properties calculated at the SCAN level.

a b c (Å): 3.841 3.841 3.841
angles (deg): 90.00 90.00 90.00
Positions (direct):
Cu 0.500 0.500 0.500
Be 0.000 0.500 0.000
Be 0.000 0.000 0.500
Be 0.500 0.000 0.000
Co 0.000 0.000 0.000

## Properties
The calculation puts the uncorrected energy at -8.49 eV per atom. The space group is Pm-3m. The value obtained for the formation energy from the elements is 627 meV per atom.

# 7
Below is a crystal of Be2CoH20N2O6F8 relaxed with PBEsol, with properties calculated at the SCAN level.

a b c (Å): 6.041 9.227 12.489
angles (deg): 90.00 90.00 106.91
Site moments in Bohr magnetons follow the coordinates.
Positions (direct):
H 0.348 0.175 0.564  0.00
H 0.661 0.958 0.857  0.00
F 0.223 0.447 0.092  0.00
H 0.478 0.912 0.374  0.00
H 0.112 0.747 0.632  0.00
Be 0.754 0.399 0.853  0.00
H 0.974 0.641 0.317  0.00
H 0.664 0.098 0.936  0.00
H 0.343 0.211 0.907  0.00
O 0.179 0.164 0.888  0.03
O 0.038 0.334 0.607  0.04
H 0.765 0.457 0.161  0.00
H 0.424 0.716 0.806  0.00
O 0.300 0.001 0.069  0.04
Be 0.246 0.601 0.147  0.00
O 0.038 0.834 0.893  0.04
F 0.996 0.384 0.818  0.00
O 0.962 0.666 0.393  0.04
F 0.633 0.269 0.933  0.00
H 0.348 0.675 0.936  0.00
H 0.343 0.711 0.593  0.00
H 0.336 0.402 0.436  0.00
H 0.336 0.902 0.064  0.00
Be 0.246 0.101 0.353  0.00
F 0.410 0.618 0.245  0.00
Co 0.000 0.500 0.500  2.71
Be 0.754 0.899 0.647  0.00
N 0.380 0.629 0.863  0.00
O 0.821 0.836 0.112  0.03
H 0.661 0.458 0.643  0.00
F 0.633 0.769 0.567  0.00
F 0.004 0.116 0.318  0.00
H 0.939 0.227 0.598  0.00
H 0.478 0.412 0.126  0.00
F 0.223 0.947 0.408  0.00
O 0.962 0.166 0.107  0.04
F 0.367 0.231 0.433  0.00
F 0.410 0.118 0.255  0.00
H 0.339 0.042 0.143  0.00
H 0.576 0.284 0.194  0.00
H 0.888 0.253 0.368  0.00
F 0.367 0.731 0.067  0.00
F 0.590 0.882 0.745  0.00
O 0.700 0.999 0.931  0.04
N 0.380 0.129 0.637  0.00
F 0.004 0.616 0.182  0.00
F 0.777 0.553 0.908  0.00
F 0.590 0.382 0.755  0.00
H 0.522 0.088 0.626  0.00
Co 0.000 0.000 0.000  2.71
H 0.652 0.325 0.064  0.00
H 0.026 0.859 0.817  0.00
O 0.700 0.499 0.569  0.04
H 0.112 0.247 0.868  0.00
H 0.664 0.598 0.564  0.00
H 0.765 0.957 0.339  0.00
H 0.888 0.753 0.132  0.00
H 0.424 0.216 0.694  0.00
O 0.821 0.336 0.388  0.03
O 0.179 0.664 0.612  0.03
H 0.026 0.359 0.683  0.00
H 0.652 0.825 0.436  0.00
H 0.235 0.043 0.661  0.00
N 0.620 0.871 0.363  0.00
H 0.061 0.273 0.098  0.00
H 0.522 0.588 0.874  0.00
H 0.939 0.727 0.902  0.00
O 0.300 0.501 0.431  0.04
H 0.974 0.141 0.183  0.00
H 0.657 0.789 0.093  0.00
H 0.657 0.289 0.407  0.00
H 0.576 0.784 0.306  0.00
H 0.339 0.542 0.357  0.00
F 0.996 0.884 0.682  0.00
N 0.620 0.371 0.137  0.00
H 0.061 0.773 0.402  0.00
F 0.777 0.053 0.592  0.00
H 0.235 0.543 0.839  0.00

## Properties
The calculation puts the uncorrected energy at -6.10 eV per atom. The space group is P2_1/c.

# 8
Below is a crystal of BeCoNF2 relaxed with PBEsol, with properties calculated at the SCAN level.

a b c (Å): 3.040 3.040 5.250
angles (deg): 90.00 90.00 90.00
Site moments in Bohr magnetons follow the coordinates.
Positions (direct):
N 0.000 0.000 0.500  0.61
Co 0.500 0.500 0.500  2.57
Be 0.000 0.000 0.000  0.00
F 0.500 0.000 0.000  0.01
F 0.000 0.500 0.000  0.01

## Properties
The calculation puts the uncorrected energy at -8.85 eV per atom. The space group is P4/mmm. The value obtained for the formation energy from raw total energies is -1.25 eV per atom.

# 9
Below is a crystal of Be3FeCo relaxed with PBEsol, with properties calculated at the SCAN level.

a b c (Å): 3.796 3.796 3.796
angles (deg): 90.00 90.00 90.00
Site moments in Bohr magnetons follow the coordinates.
Positions (direct):
Be 0.500 0.000 0.000  -0.06
Be 0.000 0.000 0.500  -0.06
Co 0.500 0.500 0.500  1.98
Fe 0.000 0.000 0.000  1.09
Be 0.000 0.500 0.000  -0.06

## Properties
The calculation puts the uncorrected energy at -8.86 eV per atom. The space group is Pm-3m. The value obtained for the formation energy from the elements is 837 meV per atom.

# 10
Below is a crystal of Be2Fe2Co relaxed with PBEsol, with properties calculated at the SCAN level.

a b c (Å): 2.763 5.741 5.741
angles (deg): 90.00 90.00 90.00
Site moments in Bohr magnetons follow the coordinates.
Positions (direct):
Co 0.000 0.000 0.000  1.68
Fe 0.500 0.330 0.170  2.38
Be 0.000 0.373 0.873  -0.13
Be 0.000 0.127 0.373  -0.13
Fe 0.500 0.830 0.330  2.38
Be 0.000 0.627 0.127  -0.13
Be 0.000 0.873 0.627  -0.13
Co 0.000 0.500 0.500  1.68
Fe 0.500 0.170 0.670  2.38
Fe 0.500 0.670 0.830  2.38

## Properties
The calculation puts the uncorrected energy at -12.57 eV per atom. The space group is P4/mbm. The value obtained for the formation energy from the elements is -119 meV per atom.

# 11
Below is a crystal of BeGaCo2 relaxed with PBEsol, with properties calculated at the SCAN level.

a b c (Å): 3.430 3.430 8.325
angles (deg): 101.89 101.89 90.00
Site moments in Bohr magnetons follow the coordinates.
Positions (direct):
Ga 0.250 0.750 0.500  -0.04
Co 0.125 0.169 0.750  1.49
Be 0.750 0.250 0.500  -0.03
Ga 0.000 0.000 0.000  -0.04
Be 0.500 0.500 0.000  -0.03
Co 0.625 0.581 0.750  1.49
Co 0.419 0.875 0.250  1.49
Co 0.831 0.375 0.250  1.49

## Properties
The calculation puts the uncorrected energy at -13.49 eV per atom. The space group is I-42d. The relative energy among the computed polymorphs comes out at 587 meV per atom. The value obtained for the formation energy from the elements is 334 meV per atom.

# 12
Below is a crystal of BeGaCo2 relaxed with PBEsol, with properties calculated at the SCAN level.

a b c (Å): 3.845 3.845 3.845
angles (deg): 60.00 60.00 60.00
Positions (direct):
Co 0.750 0.750 0.750
Co 0.250 0.250 0.250
Ga 0.500 0.500 0.500
Be 0.000 0.000 0.000

## Properties
The calculation puts the uncorrected energy at -14.08 eV per atom. The space group is Fm-3m. The relative energy among the computed polymorphs comes out at 0 meV per atom. The value obtained for the formation energy from the elements is -253 meV per atom.